[1]
Computed, not measured: Ir2Pb2F after structural relaxation at the PBE-GGA level of DFT.

Structure (CIF):
```
data_Ir2Pb2F
_cell_length_a 3.671
_cell_length_b 3.671
_cell_length_c 15.863
_cell_angle_alpha 90.00
_cell_angle_beta 90.00
_cell_angle_gamma 90.00
_space_group_name_H-M_alt 'I 4/m m m'
_space_group_IT_number 139
_space_group_name_Hall '-I 4 2'
loop_
_atom_site_label
_atom_site_fract_x
_atom_site_fract_y
_atom_site_fract_z
Ir1 0.000 0.500 0.250
Pb1 0.000 0.000 0.105
F1 0.000 0.000 0.500
```



[2]
Computed, not measured: IrPbF2 after structural relaxation at the PBE-GGA level of DFT.

Structure (CIF):
```
data_IrPbF2
_cell_length_a 3.6817
_cell_length_b 3.6817
_cell_length_c 19.6332
_cell_angle_alpha 90.00
_cell_angle_beta 90.00
_cell_angle_gamma 120.00
_space_group_name_H-M_alt 'R -3 m'
_space_group_IT_number 166
_space_group_name_Hall '-R 3 2"'
loop_
_atom_site_label
_atom_site_fract_x
_atom_site_fract_y
_atom_site_fract_z
Ir1 0.0000 0.0000 0.0000
Pb1 0.0000 0.0000 0.5000
F1 0.0000 0.0000 0.3672
```



[3]
Computed, not measured: IrPbF6 after structural relaxation at the PBE-GGA level of DFT.

Structure (CIF):
```
data_IrPbF6
_cell_length_a 5.4884
_cell_length_b 5.4884
_cell_length_c 10.3965
_cell_angle_alpha 90.00
_cell_angle_beta 90.00
_cell_angle_gamma 120.00
_space_group_name_H-M_alt 'P -3 1 c'
_space_group_IT_number 163
_space_group_name_Hall '-P 3 2c'
loop_
_atom_site_label
_atom_site_fract_x
_atom_site_fract_y
_atom_site_fract_z
Ir1 0.0000 0.0000 0.0000
Pb1 0.3333 0.6667 0.2500
F1 0.0172 0.2987 0.6113
```



[4]
Computed, not measured: SbIr2PbF after structural relaxation at the PBE-GGA level of DFT.

Structure (CIF):
```
data_SbIr2PbF
_cell_length_a 5.044
_cell_length_b 5.044
_cell_length_c 5.833
_cell_angle_alpha 90.00
_cell_angle_beta 90.00
_cell_angle_gamma 90.00
_space_group_name_H-M_alt 'P 4/m m m'
_space_group_IT_number 123
_space_group_name_Hall '-P 4 2'
loop_
_atom_site_label
_atom_site_fract_x
_atom_site_fract_y
_atom_site_fract_z
Sb1 0.000 0.000 0.000
Ir1 0.000 0.500 0.500
Pb1 0.000 0.000 0.500
F1 0.500 0.500 0.000
```



[5]
Computed, not measured: ScIrPb2F after structural relaxation at the PBE-GGA level of DFT.

Structure (CIF):
```
data_ScIrPb2F
_cell_length_a 5.082
_cell_length_b 5.082
_cell_length_c 4.160
_cell_angle_alpha 90.00
_cell_angle_beta 90.00
_cell_angle_gamma 90.00
_space_group_name_H-M_alt 'P 4/m m m'
_space_group_IT_number 123
_space_group_name_Hall '-P 4 2'
loop_
_atom_site_label
_atom_site_fract_x
_atom_site_fract_y
_atom_site_fract_z
Sc1 0.000 0.000 0.000
Ir1 0.500 0.500 0.000
Pb1 0.000 0.500 0.500
F1 0.500 0.500 0.500
```



[6]
Computed, not measured: SrIr2PbF after structural relaxation at the PBE-GGA level of DFT.

Structure (CIF):
```
data_SrIr2PbF
_cell_length_a 5.349
_cell_length_b 5.349
_cell_length_c 4.377
_cell_angle_alpha 90.00
_cell_angle_beta 90.00
_cell_angle_gamma 90.00
_space_group_name_H-M_alt 'P 4/m m m'
_space_group_IT_number 123
_space_group_name_Hall '-P 4 2'
loop_
_atom_site_label
_atom_site_fract_x
_atom_site_fract_y
_atom_site_fract_z
Sr1 0.000 0.000 0.000
Ir1 0.000 0.500 0.000
Pb1 0.500 0.500 0.500
F1 0.000 0.000 0.500
```



The mass density results, record by record, are as follows: 12.70, 9.45, 6.29, 8.20, 10.36, 9.26 Mg/m³.
The ΔE_f (raw) results, record by record, are as follows: -0.27, -0.22, -1.84, 1.72, -0.06, 0.67 eV/atom.
The calculated total energy results, record by record, are as follows: -28.36, -17.20, -38.51, -18.85, -24.76, -21.65 eV per formula unit.